Density functional theory data (PBE) for a relaxed CsNb crystal.

Cell: 13.7243 13.7243 4.5472 Å, 90.00 90.00 90.00°
With the nearest neighbours (Å) after each atom.
Space group I4/m (No. 87)
Inequivalent atoms, fractional coordinates:
Cs1 0.1093 0.7942 0.0000  3 Nb 3.95-3.96
Nb1 0.0621 0.4370 0.0000  1 Nb 2.43

ΔE to the lowest computed polymorph in kJ/mol of formula units: 0
E_form in eV per atom: 0.900
Volume in A^3/atom: 53.5